# 1
{"formula": "Sc5Mo", "functional": "GGA-PBE", "state": "optimized geometry", "magnetic_moment_mub_per_cell": 0.91, "lattice": [[5.490, 0.000, 0.000], [-2.745, 4.755, 0.000], [0.000, 0.000, 5.358]], "species": ["Sc", "Sc", "Sc", "Sc", "Sc", "Mo"], "fractional_positions": [[0.000, 0.500, 0.000], [0.333, 0.667, 0.500], [0.500, 0.000, 0.000], [0.500, 0.500, 0.000], [0.667, 0.333, 0.500], [0.000, 0.000, 0.500]]}

---

# 2
{"formula": "Sc4Mo5", "functional": "GGA-PBE", "state": "optimized geometry", "magnetic_moment_mub_per_cell": 0.00, "lattice": [[8.324, 0.000, 0.000], [-4.162, 7.209, 0.000], [0.000, 0.000, 5.417]], "species": ["Sc", "Sc", "Sc", "Sc", "Sc", "Sc", "Sc", "Sc", "Mo", "Mo", "Mo", "Mo", "Mo", "Mo", "Mo", "Mo", "Mo", "Mo"], "fractional_positions": [[0.000, 0.000, 0.000], [0.000, 0.000, 0.500], [0.000, 0.329, 0.250], [0.000, 0.671, 0.750], [0.329, 0.000, 0.250], [0.329, 0.329, 0.750], [0.671, 0.000, 0.750], [0.671, 0.671, 0.250], [0.000, 0.354, 0.750], [0.000, 0.646, 0.250], [0.333, 0.667, 0.000], [0.333, 0.667, 0.500], [0.354, 0.000, 0.750], [0.354, 0.354, 0.250], [0.646, 0.000, 0.250], [0.646, 0.646, 0.750], [0.667, 0.333, 0.000], [0.667, 0.333, 0.500]]}

---

# 3
{"formula": "Sc5Mo", "functional": "GGA-PBE", "state": "optimized geometry", "magnetic_moment_mub_per_cell": 0.00, "lattice": [[3.342, 0.000, 0.000], [0.000, 3.342, 0.000], [0.000, 0.000, 12.164]], "species": ["Sc", "Sc", "Sc", "Sc", "Sc", "Mo"], "fractional_positions": [[0.000, 0.000, 0.000], [0.000, 0.000, 0.371], [0.000, 0.000, 0.629], [0.500, 0.500, 0.179], [0.500, 0.500, 0.821], [0.500, 0.500, 0.500]]}

---

Energy relative to the elements for every record listed, in sequence, given in eV/atom: 0.727; 0.353; 0.101.
E for every record listed, in sequence, given in eV/f.u.: -38.12; -76.31; -41.88.